Material: Cs5CaNi4F15
Method: DFT, PBE with a Hubbard U
State: relaxed

Unit cell a=6.3084 b=6.3084 c=25.5683 alpha=90.00 beta=90.00 gamma=120.00
Space group P6_3/mmc (No. 194)
Symmetry-distinct sites (fractional):
Cs (0.0000, 0.0000, 0.1549) (multiplicity 4)
Cs (0.3333, 0.6667, 0.0582) (multiplicity 4)
Cs (0.3333, 0.6667, 0.2500) (multiplicity 2)
Ca (0.0000, 0.0000, 0.0000) (multiplicity 2)
Ni (0.3333, 0.6667, 0.5909) (multiplicity 4)
Ni (0.3333, 0.6667, 0.6973) (multiplicity 4)
F (0.0508, 0.5254, 0.6470) (multiplicity 12)
F (0.1743, 0.3487, 0.5498) (multiplicity 12)
F (0.1922, 0.3844, 0.7500) (multiplicity 6)

Calculated volume ... 17.62 Å³/atom
DFT total energy ... -4.45 eV/atom
Density of states at the Fermi level ... 0.000 states/eV per atom